[1]
Density functional theory data (PBE) for crystalline NaZr3Au at its relaxed geometry.

Geometry as CIF:
```
data_NaZr3Au
_chemical_formula_sum 'Na1 Zr3 Au1'
_cell_length_a 5.2793
_cell_length_b 5.2793
_cell_length_c 5.2793
_cell_angle_alpha 90.00
_cell_angle_beta 90.00
_cell_angle_gamma 90.00
_symmetry_space_group_name_H-M 'P m -3 m'
_symmetry_Int_Tables_number 221
_symmetry_space_group_name_Hall '-P 4 2 3'
loop_
_atom_site_label
_atom_site_type_symbol
_atom_site_fract_x
_atom_site_fract_y
_atom_site_fract_z
_atom_site_occupancy
Na1 Na 0.0000 0.0000 0.0000 1
Zr1 Zr 0.0000 0.5000 0.5000 1
Au1 Au 0.5000 0.5000 0.5000 1
```

Computed properties:
* DOS(E_F): 1.755 states/eV per atom
* ΔE_f: 3.5 eV per formula unit



[2]
Density functional theory data (PBE) for crystalline NaZrAu at its relaxed geometry.

Geometry as CIF:
```
data_NaZrAu
_chemical_formula_sum 'Na4 Zr4 Au4'
_cell_length_a 3.4218
_cell_length_b 3.4218
_cell_length_c 25.6057
_cell_angle_alpha 90.00
_cell_angle_beta 90.00
_cell_angle_gamma 90.00
_symmetry_space_group_name_H-M 'I 4/m m m'
_symmetry_Int_Tables_number 139
_symmetry_space_group_name_Hall '-I 4 2'
loop_
_atom_site_label
_atom_site_type_symbol
_atom_site_fract_x
_atom_site_fract_y
_atom_site_fract_z
_atom_site_occupancy
Na1 Na 0.0000 0.0000 0.0690 1
Zr1 Zr 0.0000 0.0000 0.2105 1
Au1 Au 0.0000 0.0000 0.3509 1
```

Computed properties:
* DOS(E_F): 0.522 states/eV per atom
* ΔE_f: -0.9 eV per formula unit



[3]
Density functional theory data (PBE) for crystalline NaZr2Au at its relaxed geometry.

Geometry as CIF:
```
data_NaZr2Au
_chemical_formula_sum 'Na4 Zr8 Au4'
_cell_length_a 4.1291
_cell_length_b 4.1291
_cell_length_c 21.4330
_cell_angle_alpha 90.00
_cell_angle_beta 90.00
_cell_angle_gamma 90.00
_symmetry_space_group_name_H-M 'I -4 2 d'
_symmetry_Int_Tables_number 122
_symmetry_space_group_name_Hall 'I -4 2bw'
loop_
_atom_site_label
_atom_site_type_symbol
_atom_site_fract_x
_atom_site_fract_y
_atom_site_fract_z
_atom_site_occupancy
Na1 Na 0.0000 0.0000 0.0000 1
Zr1 Zr 0.2349 0.2500 0.6250 1
Au1 Au 0.0000 0.0000 0.5000 1
```

Computed properties:
* DOS(E_F): 1.257 states/eV per atom
* ΔE_f: 1.4 eV per formula unit



[4]
Density functional theory data (PBE) for crystalline Nb3Au at its relaxed geometry.

Geometry as CIF:
```
data_Nb3Au
_chemical_formula_sum 'Nb6 Au2'
_cell_length_a 2.7422
_cell_length_b 9.7235
_cell_length_c 5.4237
_cell_angle_alpha 90.00
_cell_angle_beta 90.00
_cell_angle_gamma 90.00
_symmetry_space_group_name_H-M 'I m m 2'
_symmetry_Int_Tables_number 44
_symmetry_space_group_name_Hall 'I 2 -2'
loop_
_atom_site_label
_atom_site_type_symbol
_atom_site_fract_x
_atom_site_fract_y
_atom_site_fract_z
_atom_site_occupancy
Nb1 Nb 0.0000 0.0000 0.0000 1
Nb2 Nb 0.0000 0.2470 0.6966 1
Au1 Au 0.0000 0.5000 0.9995 1
```

Computed properties:
* DOS(E_F): 0.954 states/eV per atom
* ΔE_f: 0.1 eV per formula unit



What did the second record say?
Density functional theory data (PBE) for crystalline NaZrAu at its relaxed geometry.

Geometry as CIF:
```
data_NaZrAu
_chemical_formula_sum 'Na4 Zr4 Au4'
_cell_length_a 3.4218
_cell_length_b 3.4218
_cell_length_c 25.6057
_cell_angle_alpha 90.00
_cell_angle_beta 90.00
_cell_angle_gamma 90.00
_symmetry_space_group_name_H-M 'I 4/m m m'
_symmetry_Int_Tables_number 139
_symmetry_space_group_name_Hall '-I 4 2'
loop_
_atom_site_label
_atom_site_type_symbol
_atom_site_fract_x
_atom_site_fract_y
_atom_site_fract_z
_atom_site_occupancy
Na1 Na 0.0000 0.0000 0.0690 1
Zr1 Zr 0.0000 0.0000 0.2105 1
Au1 Au 0.0000 0.0000 0.3509 1
```

Computed properties:
* DOS(E_F): 0.522 states/eV per atom
* ΔE_f: -0.9 eV per formula unit



Q: Number 3 is which compound?
A: NaZr2Au



Please write out number 2 again, unchanged.
Density functional theory data (PBE) for crystalline NaZrAu at its relaxed geometry.

Geometry as CIF:
```
data_NaZrAu
_chemical_formula_sum 'Na4 Zr4 Au4'
_cell_length_a 3.4218
_cell_length_b 3.4218
_cell_length_c 25.6057
_cell_angle_alpha 90.00
_cell_angle_beta 90.00
_cell_angle_gamma 90.00
_symmetry_space_group_name_H-M 'I 4/m m m'
_symmetry_Int_Tables_number 139
_symmetry_space_group_name_Hall '-I 4 2'
loop_
_atom_site_label
_atom_site_type_symbol
_atom_site_fract_x
_atom_site_fract_y
_atom_site_fract_z
_atom_site_occupancy
Na1 Na 0.0000 0.0000 0.0690 1
Zr1 Zr 0.0000 0.0000 0.2105 1
Au1 Au 0.0000 0.0000 0.3509 1
```

Computed properties:
* DOS(E_F): 0.522 states/eV per atom
* ΔE_f: -0.9 eV per formula unit